Entry 1:
Computed, not measured: an optimized crystal structure of Ca4CdCl at the GGA-PBEsol level of DFT.

Cell lengths 6.773, 6.773, 6.773 Å; angles 60.00, 60.00, 60.00 degrees
Atoms (fractional coordinates):
Ca 0.872 0.376 0.376
Ca 0.376 0.376 0.872
Ca 0.376 0.872 0.376
Ca 0.376 0.376 0.376
Cd 0.750 0.750 0.750
Cl 0.000 0.000 0.000

## Properties
- Uncorrected energy: -1.868 eV per atom
- Symmetry: F-43m
- Density of states at the Fermi level: 7.9 states/eV per cell
- Formation energy without anion corrections: 89 meV/atom


Entry 2:
Computed, not measured: an optimized crystal structure of BePb2Br at the GGA-PBEsol level of DFT.

Cell lengths 3.497, 4.870, 6.034 Å; angles 90.00, 90.00, 90.00 degrees
Atoms (fractional coordinates):
Br 0.000 0.500 0.500
Pb 0.500 0.000 0.500
Pb 0.000 0.000 0.000
Be 0.500 0.500 0.000

## Properties
- Uncorrected energy: -3.107 eV per atom
- Energy above the lowest structure with this stoichiometry: 0.166 eV/atom
- Symmetry: Pmmm
- Density of states at the Fermi level: 2.0 states/eV per cell
- Formation energy without anion corrections: 360 meV/atom


Entry 3:
Computed, not measured: an optimized crystal structure of Ca2YRh at the GGA-PBEsol level of DFT.

Cell lengths 3.445, 3.445, 9.452 Å; angles 90.00, 90.00, 90.03 degrees
Atoms (fractional coordinates):
Rh 0.000 0.000 0.483
Ca 0.500 0.500 0.677
Ca 0.000 0.000 0.011
Y 0.500 0.500 0.329

## Properties
- Uncorrected energy: -5.104 eV per atom
- Energy above the lowest structure with this stoichiometry: 0.006 eV/atom
- ΔE_f: -0.30 eV per atom
- Symmetry: P4mm
- Density of states at the Fermi level: 4.3 states/eV per cell


Entry 4:
Computed, not measured: an optimized crystal structure of MgAgAu2 at the GGA-PBEsol level of DFT.

Cell lengths 3.275, 3.578, 5.810 Å; angles 90.00, 90.00, 90.00 degrees
Atoms (fractional coordinates):
Ag 0.500 0.500 0.000
Au 0.000 0.000 0.253
Au 0.000 0.000 0.747
Mg 0.500 0.500 0.500

## Properties
- Uncorrected energy: -3.559 eV per atom
- ΔE_f: -0.34 eV per atom
- Symmetry: Pmmm
- Density of states at the Fermi level: 1.2 states/eV per cell


Entry 5:
Computed, not measured: an optimized crystal structure of ZrCoAg2 at the GGA-PBEsol level of DFT.

Cell lengths 2.847, 2.847, 7.943 Å; angles 90.00, 90.00, 90.00 degrees
Atoms (fractional coordinates):
Ag 0.000 0.000 0.281
Ag 0.000 0.000 0.719
Co 0.500 0.500 0.500
Zr 0.500 0.500 0.000

## Properties
- Uncorrected energy: -5.617 eV per atom
- Energy above the lowest structure with this stoichiometry: 0.294 eV/atom
- ΔE_f: 0.24 eV per atom
- Symmetry: P4/mmm
- Density of states at the Fermi level: 5.1 states/eV per cell


Entry 6:
Computed, not measured: an optimized crystal structure of BaNiPS2 at the GGA-PBEsol level of DFT.

Cell lengths 4.194, 4.875, 4.875 Å; angles 90.00, 90.00, 90.00 degrees
Atoms (fractional coordinates):
S 0.000 0.500 0.000
S 0.000 0.000 0.500
P 0.500 0.000 0.000
Ba 0.500 0.500 0.500
Ni 0.000 0.000 0.000

## Properties
- Uncorrected energy: -5.240 eV per atom
- Symmetry: P4/mmm
- Density of states at the Fermi level: 2.0 states/eV per cell
- Formation energy without anion corrections: -667 meV/atom


- What is the uncorrected energy in the fourth record?
  -3.559 eV per atom


- What is the formula in the third record?
  Ca2YRh


- Number 6 is which compound?
  BaNiPS2


- Look up the density of states at the Fermi level of the fourth one.
  1.2 states/eV per cell